Here is ScHgSb after structural relaxation from the Alexandria database. Energies are from GGA-PBE.

Values from the calculation:
Total moment ... 0.00 μB per cell
ΔE to the lowest computed polymorph ... 0.008 eV per atom
V ... 88 Å³/cell
Density of states at the Fermi level ... 0.504 states/eV/cell

a = 4.082 Å, b = 5.285 Å, c = 4.098 Å
α = 90.00°, β = 90.15°, γ = 90.00°
Element x y z (fractional)
1 Sc 0.000 0.000 0.000
2 Hg 0.787 0.500 0.202
3 Sb 0.499 0.000 0.501


Here is Li2NdSm after structural relaxation from the Alexandria database. Energies are from GGA-PBE.

Values from the calculation:
Total moment ... 0.00 μB per cell
ΔE to the lowest computed polymorph ... 0.114 eV per atom
V ... 120 Å³/cell
Density of states at the Fermi level ... 3.812 states/eV/cell

a = 12.169 Å, b = 12.169 Å, c = 12.169 Å
α = 16.01°, β = 16.01°, γ = 16.01°
Element x y z (fractional)
1 Li 0.088 0.088 0.088
2 Li 0.912 0.912 0.912
3 Nd 0.500 0.500 0.500
4 Sm 0.000 0.000 0.000


Here is TlSb3C after structural relaxation from the Alexandria database. Energies are from GGA-PBE.

Values from the calculation:
Total moment ... 1.31 μB per cell
ΔE to the lowest computed polymorph ... 1.391 eV per atom
V ... 188 Å³/cell
Density of states at the Fermi level ... 11.309 states/eV/cell

a = 5.727 Å, b = 5.727 Å, c = 5.727 Å
α = 90.00°, β = 90.00°, γ = 90.00°
Element x y z (fractional)
1 Tl 0.000 0.000 0.000
2 Sb 0.000 0.000 0.500
3 Sb 0.000 0.500 0.000
4 Sb 0.500 0.000 0.000
5 C 0.500 0.500 0.500


Here is Ti3ReMo after structural relaxation from the Alexandria database. Energies are from GGA-PBE.

Values from the calculation:
Total moment ... 0.00 μB per cell
ΔE to the lowest computed polymorph ... 0.000 eV per atom
V ... 160 Å³/cell
Density of states at the Fermi level ... 13.756 states/eV/cell

a = 4.519 Å, b = 4.513 Å, c = 8.141 Å
α = 90.00°, β = 105.94°, γ = 90.00°
Element x y z (fractional)
1 Ti 0.060 0.250 0.119
2 Ti 0.250 0.250 0.500
3 Ti 0.440 0.250 0.879
4 Ti 0.560 0.750 0.121
5 Ti 0.750 0.750 0.500
6 Ti 0.940 0.750 0.881
7 Re 0.351 0.750 0.700
8 Re 0.649 0.250 0.300
9 Mo 0.145 0.750 0.291
10 Mo 0.855 0.250 0.709


Here is ZrMnRe after structural relaxation from the Alexandria database. Energies are from GGA-PBE.

Values from the calculation:
Total moment ... 2.93 μB per cell
ΔE to the lowest computed polymorph ... 0.000 eV per atom
V ... 98 Å³/cell
Density of states at the Fermi level ... 5.083 states/eV/cell

a = 5.169 Å, b = 5.169 Å, c = 5.169 Å
α = 120.19°, β = 119.82°, γ = 89.99°
Element x y z (fractional)
1 Zr 0.374 0.124 0.250
2 Zr 0.626 0.876 0.750
3 Mn 0.000 0.500 0.500
4 Mn 0.500 0.500 0.000
5 Re 0.000 0.000 0.500
6 Re 0.000 0.500 0.000


Here is HgB4O7 after structural relaxation from the Alexandria database. Energies are from GGA-PBE.

Values from the calculation:
Total moment ... 0.00 μB per cell
ΔE to the lowest computed polymorph ... 0.000 eV per atom
V ... 1103 Å³/cell
Density of states at the Fermi level ... 0.000 states/eV/cell

a = 8.555 Å, b = 8.965 Å, c = 14.384 Å
α = 90.00°, β = 90.00°, γ = 90.00°
Element x y z (fractional)
1 Hg 0.139 0.115 0.117
2 Hg 0.139 0.385 0.617
3 Hg 0.361 0.615 0.117
4 Hg 0.361 0.885 0.617
5 Hg 0.639 0.115 0.383
6 Hg 0.639 0.385 0.883
7 Hg 0.861 0.615 0.383
8 Hg 0.861 0.885 0.883
9 B 0.007 0.166 0.766
10 B 0.007 0.334 0.266
11 B 0.019 0.070 0.338
12 B 0.019 0.430 0.838
13 B 0.049 0.718 0.562
14 B 0.049 0.782 0.062
15 B 0.215 0.156 0.451
16 B 0.215 0.344 0.951
17 B 0.285 0.656 0.451
18 B 0.285 0.844 0.951
19 B 0.451 0.218 0.562
20 B 0.451 0.282 0.062
21 B 0.481 0.570 0.338
22 B 0.481 0.930 0.838
23 B 0.493 0.666 0.766
24 B 0.493 0.834 0.266
25 B 0.507 0.166 0.734
26 B 0.507 0.334 0.234
27 B 0.519 0.070 0.162
28 B 0.519 0.430 0.662
29 B 0.549 0.718 0.938
30 B 0.549 0.782 0.438
31 B 0.715 0.156 0.049
32 B 0.715 0.344 0.549
33 B 0.785 0.656 0.049
34 B 0.785 0.844 0.549
35 B 0.951 0.218 0.938
36 B 0.951 0.282 0.438
37 B 0.981 0.570 0.162
38 B 0.981 0.930 0.662
39 B 0.993 0.666 0.734
40 B 0.993 0.834 0.234
41 O 0.030 0.181 0.256
42 O 0.030 0.319 0.756
43 O 0.033 0.076 0.692
44 O 0.033 0.424 0.192
45 O 0.039 0.616 0.647
46 O 0.039 0.884 0.147
47 O 0.097 0.634 0.095
48 O 0.097 0.866 0.595
49 O 0.112 0.232 0.979
50 O 0.112 0.268 0.479
51 O 0.143 0.642 0.494
52 O 0.143 0.858 0.994
53 O 0.173 0.062 0.381
54 O 0.173 0.438 0.881
55 O 0.327 0.562 0.381
56 O 0.327 0.938 0.881
57 O 0.357 0.142 0.494
58 O 0.357 0.358 0.994
59 O 0.388 0.732 0.979
60 O 0.388 0.768 0.479
61 O 0.403 0.134 0.095
62 O 0.403 0.366 0.595
63 O 0.461 0.116 0.647
64 O 0.461 0.384 0.147
65 O 0.467 0.576 0.692
66 O 0.467 0.924 0.192
67 O 0.470 0.681 0.256
68 O 0.470 0.819 0.756
69 O 0.530 0.181 0.244
70 O 0.530 0.319 0.744
71 O 0.533 0.076 0.808
72 O 0.533 0.424 0.308
73 O 0.539 0.616 0.853
74 O 0.539 0.884 0.353
75 O 0.597 0.634 0.405
76 O 0.597 0.866 0.905
77 O 0.612 0.232 0.521
78 O 0.612 0.268 0.021
79 O 0.643 0.642 0.006
80 O 0.643 0.858 0.506
81 O 0.673 0.062 0.119
82 O 0.673 0.438 0.619
83 O 0.827 0.562 0.119
84 O 0.827 0.938 0.619
85 O 0.857 0.142 0.006
86 O 0.857 0.358 0.506
87 O 0.888 0.732 0.521
88 O 0.888 0.768 0.021
89 O 0.903 0.134 0.405
90 O 0.903 0.366 0.905
91 O 0.961 0.116 0.853
92 O 0.961 0.384 0.353
93 O 0.967 0.576 0.808
94 O 0.967 0.924 0.308
95 O 0.970 0.681 0.244
96 O 0.970 0.819 0.744


Here is TaSnRu2 after structural relaxation from the Alexandria database. Energies are from GGA-PBE.

Values from the calculation:
Total moment ... 0.00 μB per cell
Raw total energy ... -8.83 eV per atom
V ... 66 Å³/cell
Density of states at the Fermi level ... 4.077 states/eV/cell

a = 3.266 Å, b = 3.266 Å, c = 6.186 Å
α = 90.00°, β = 90.00°, γ = 90.00°
Element x y z (fractional)
1 Ta 0.000 0.000 0.000
2 Sn 0.000 0.000 0.500
3 Ru 0.500 0.500 0.241
4 Ru 0.500 0.500 0.759


Here is Al3Cr after structural relaxation from the Alexandria database. Energies are from GGA-PBE.

Values from the calculation:
Total moment ... 4.41 μB per cell
Raw total energy ... -5.33 eV per atom
V ... 118 Å³/cell
Density of states at the Fermi level ... 4.015 states/eV/cell

a = 8.495 Å, b = 8.495 Å, c = 8.495 Å
α = 153.97°, β = 153.97°, γ = 37.14°
Element x y z (fractional)
1 Al 0.000 0.500 0.500
2 Al 0.123 0.123 0.000
3 Al 0.250 0.750 0.500
4 Al 0.500 0.000 0.500
5 Al 0.750 0.250 0.500
6 Al 0.877 0.877 0.000
7 Cr 0.376 0.376 0.000
8 Cr 0.624 0.624 0.000


Here is HoPu3Ga4 after structural relaxation from the Alexandria database. Energies are from GGA-PBE.

Values from the calculation:
Total moment ... 5.55 μB per cell
Raw total energy ... -7.79 eV per atom
V ... 182 Å³/cell
Density of states at the Fermi level ... 19.946 states/eV/cell

a = 3.535 Å, b = 5.059 Å, c = 10.191 Å
α = 90.00°, β = 90.00°, γ = 90.00°
Element x y z (fractional)
1 Ho 0.000 0.000 0.000
2 Pu 0.000 0.000 0.500
3 Pu 0.000 0.500 0.252
4 Pu 0.000 0.500 0.748
5 Ga 0.500 0.000 0.245
6 Ga 0.500 0.000 0.755
7 Ga 0.500 0.500 0.000
8 Ga 0.500 0.500 0.500


Here is Hg2PS2 after structural relaxation from the Alexandria database. Energies are from GGA-PBE.

Values from the calculation:
Total moment ... 0.00 μB per cell
ΔE to the lowest computed polymorph ... 0.270 eV per atom
V ... 119 Å³/cell
Density of states at the Fermi level ... 2.574 states/eV/cell

a = 8.234 Å, b = 8.234 Å, c = 8.234 Å
α = 152.48°, β = 152.48°, γ = 39.31°
Element x y z (fractional)
1 Hg 0.250 0.750 0.500
2 Hg 0.750 0.250 0.500
3 P 0.000 0.000 0.000
4 S 0.434 0.434 0.000
5 S 0.566 0.566 0.000


Here is LaPdN2F after structural relaxation from the Alexandria database. Energies are from GGA-PBE.

Values from the calculation:
Total moment ... 1.31 μB per cell
ΔE to the lowest computed polymorph ... 0.794 eV per atom
V ... 90 Å³/cell
Density of states at the Fermi level ... 5.100 states/eV/cell

a = 4.464 Å, b = 4.464 Å, c = 4.533 Å
α = 90.00°, β = 90.00°, γ = 90.00°
Element x y z (fractional)
1 La 0.000 0.000 0.000
2 Pd 0.500 0.500 0.500
3 N 0.000 0.500 0.000
4 N 0.500 0.000 0.000
5 F 0.000 0.000 0.500


Here is Cd2Ag2Sb after structural relaxation from the Alexandria database. Energies are from GGA-PBE.

Values from the calculation:
Total moment ... 0.00 μB per cell
ΔE to the lowest computed polymorph ... 0.000 eV per atom
V ... 217 Å³/cell
Density of states at the Fermi level ... 3.948 states/eV/cell

a = 8.372 Å, b = 8.372 Å, c = 3.103 Å
α = 90.00°, β = 90.00°, γ = 90.00°
Element x y z (fractional)
1 Cd 0.170 0.330 0.000
2 Cd 0.330 0.830 0.000
3 Cd 0.670 0.170 0.000
4 Cd 0.830 0.670 0.000
5 Ag 0.126 0.626 0.500
6 Ag 0.374 0.126 0.500
7 Ag 0.626 0.874 0.500
8 Ag 0.874 0.374 0.500
9 Sb 0.000 0.000 0.500
10 Sb 0.500 0.500 0.500